# LiTeOsI2 PBE optimized geometry
# Raw formation energy, meV per atom: 284
# Relative energy among the computed polymorphs, meV per atom: 0
# Magnetic moment, Bohr magnetons per cell: 0.00
# Raw total energy, eV per atom: -3.594
# V, A^3/atom: 33.27
data_LiTeOsI2
_cell_length_a 5.790
_cell_length_b 5.790
_cell_length_c 4.961
_cell_angle_alpha 90.00
_cell_angle_beta 90.00
_cell_angle_gamma 90.00
_space_group_name_H-M_alt 'P 4/m m m'
_space_group_IT_number 123
_space_group_name_Hall '-P 4 2'
loop_
_atom_site_label
_atom_site_type_symbol
_atom_site_fract_x
_atom_site_fract_y
_atom_site_fract_z
_atom_site_occupancy
Li1 Li 0.000 0.000 0.000 1
Te1 Te 0.500 0.500 0.000 1
Os1 Os 0.500 0.500 0.500 1
I1 I 0.000 0.500 0.500 1